A plane-wave DFT calculation with PBE was carried out for a relaxed structure of Dy3ErAg.

Properties
* crystal system: monoclinic
* DOS(E_F): 5.05 states/eV/f.u.
* total moment: 0.00 μB/cell
* VASP energy: -42.50 eV/cell

Unit cell a=6.662 b=6.662 c=7.713 alpha=107.54 beta=107.54 gamma=67.83
Fractional coordinates of all 10 atoms:
Dy1 0.058 0.058 0.240
Dy2 0.087 0.586 0.351
Dy3 0.414 0.913 0.649
Dy4 0.586 0.087 0.351
Dy5 0.913 0.414 0.649
Dy6 0.942 0.942 0.760
Er1 0.441 0.441 0.759
Er2 0.559 0.559 0.241
Ag1 0.253 0.253 0.000
Ag2 0.747 0.747 0.000